Entry 1:
# K2LaAlF8 | the Alexandria database | PBE | optimized geometry
data_K2LaAlF8
_symmetry_space_group_name_H-M 'P 1 2/m 1'
_symmetry_Int_Tables_number 10
_cell_length_a 4.870
_cell_length_b 7.033
_cell_length_c 5.960
_cell_angle_alpha 90.00
_cell_angle_beta 92.46
_cell_angle_gamma 90.00
loop_
_symmetry_equiv_pos_as_xyz
'x,y,z'
'-x,-y,-z'
'-x,y,-z'
'x,-y,z'
loop_
_atom_site_label
_atom_site_type_symbol
_atom_site_fract_x
_atom_site_fract_y
_atom_site_fract_z
K1 K 0.000 0.221 0.000
La1 La 0.500 0.500 0.500
Al1 Al 0.500 0.000 0.500
F1 F 0.125 0.500 0.263
F2 F 0.204 0.000 0.318
F3 F 0.366 0.203 0.677
# Calculated density (Mg/m³): 3.225
# E_form (uncorrected) (eV/f.u.): -41.459
# Total magnetization (μB/cell): 0.1

***

Entry 2:
# Nd2HoHfN4 | the Alexandria database | PBE | optimized geometry
data_Nd2HoHfN4
_symmetry_space_group_name_H-M 'P 1 2/m 1'
_symmetry_Int_Tables_number 10
_cell_length_a 5.990
_cell_length_b 3.450
_cell_length_c 6.069
_cell_angle_alpha 90.00
_cell_angle_beta 108.99
_cell_angle_gamma 90.00
loop_
_symmetry_equiv_pos_as_xyz
'x,y,z'
'-x,-y,-z'
'-x,y,-z'
'x,-y,z'
loop_
_atom_site_label
_atom_site_type_symbol
_atom_site_fract_x
_atom_site_fract_y
_atom_site_fract_z
Nd1 Nd 0.000 0.000 0.000
Nd2 Nd 0.500 0.500 0.000
Ho1 Ho 0.000 0.500 0.500
Hf1 Hf 0.500 0.000 0.500
N1 N 0.256 0.000 0.724
N2 N 0.273 0.500 0.282
# Calculated density (Mg/m³): 9.632
# E_form (uncorrected) (eV/f.u.): -12.610
# Total magnetization (μB/cell): 0.0

***

Entry 3:
# Pr2AgTe6Pb3 | the Alexandria database | PBE | optimized geometry
data_Pr2AgTe6Pb3
_symmetry_space_group_name_H-M 'C 1 2/m 1'
_symmetry_Int_Tables_number 12
_cell_length_a 20.146
_cell_length_b 4.504
_cell_length_c 9.214
_cell_angle_alpha 90.00
_cell_angle_beta 103.66
_cell_angle_gamma 90.00
loop_
_symmetry_equiv_pos_as_xyz
'x,y,z'
'-x,-y,-z'
'-x,y,-z'
'x,-y,z'
'x+1/2,y+1/2,z'
'-x+1/2,-y+1/2,-z'
'-x+1/2,y+1/2,-z'
'x+1/2,-y+1/2,z'
loop_
_atom_site_label
_atom_site_type_symbol
_atom_site_fract_x
_atom_site_fract_y
_atom_site_fract_z
Pr1 Pr 0.165 0.000 0.338
Ag1 Ag 0.000 0.500 0.000
Te1 Te 0.004 0.000 0.230
Te2 Te 0.168 0.500 0.588
Te3 Te 0.172 0.500 0.094
Pb1 Pb 0.000 0.500 0.500
Pb2 Pb 0.161 0.000 0.845
# Calculated density (Mg/m³): 7.265
# E_form (uncorrected) (eV/f.u.): -8.217
# Total magnetization (μB/cell): 0.0